Entry 1:
Compound: MgTa3
Source: the Alexandria database
Functional: PBE
Structure: relaxed

Output
Energy above the lowest structure with this stoichiometry   2991.6 meV per atom
ΔE_f   3.1276 eV/atom

a = 4.805 Å, b = 4.805 Å, c = 4.805 Å
α = 90.00°, β = 90.00°, γ = 90.00°
Space group Pm-3m (No. 221)
One atom of each set of equivalent atoms:
Mg: 0.000 0.000 0.000 (multiplicity 1)
Ta: 0.000 0.000 0.500 (multiplicity 3)


Entry 2:
Compound: Er2Zr2Sb2H
Source: the Alexandria database
Functional: PBE
Structure: relaxed

Output
Total DFT energy (no corrections)   -6.199 eV/atom

a = 4.291 Å, b = 4.291 Å, c = 16.370 Å
α = 90.00°, β = 90.00°, γ = 90.00°
Space group I4/mmm (No. 139)
One atom of each set of equivalent atoms:
Er: 0.000 0.000 0.176 (multiplicity 4)
Zr: 0.000 0.500 0.000 (multiplicity 4)
Sb: 0.000 0.000 0.366 (multiplicity 4)
H: 0.000 0.000 0.000 (multiplicity 2)


Entry 3:
Compound: AcLaPm2Sm4
Source: the Alexandria database
Functional: PBE
Structure: relaxed

Output
ΔE_f   0.3829 eV/atom

a = 13.963 Å, b = 13.658 Å, c = 7.057 Å
α = 90.00°, β = 120.19°, γ = 90.00°
Space group C2/c (No. 15)
One atom of each set of equivalent atoms:
Ac: 0.250 0.250 0.000 (multiplicity 4)
La: 0.000 0.000 0.000 (multiplicity 4)
Pm: 0.000 0.500 0.000 (multiplicity 4)
Pm: 0.250 0.250 0.500 (multiplicity 4)
Sm: 0.000 0.252 0.016 (multiplicity 8)
Sm: 0.248 0.492 0.473 (multiplicity 8)


Entry 4:
Compound: CaPr2TmSb4
Source: the Alexandria database
Functional: PBE
Structure: relaxed

Output
Uncorrected formation energy   -1035 meV/atom

a = 7.720 Å, b = 4.497 Å, c = 7.854 Å
α = 90.00°, β = 109.53°, γ = 90.00°
Space group P2/m (No. 10)
One atom of each set of equivalent atoms:
Ca: 0.000 0.000 0.000 (multiplicity 1)
Pr: 0.500 0.000 0.500 (multiplicity 1)
Pr: 0.500 0.500 0.000 (multiplicity 1)
Tm: 0.000 0.500 0.500 (multiplicity 1)
Sb: 0.239 0.000 0.741 (multiplicity 2)
Sb: 0.243 0.500 0.254 (multiplicity 2)


Entry 5:
Compound: NdPuAlGe
Source: the Alexandria database
Functional: PBE
Structure: relaxed

Output
ΔE_f   -0.3032 eV/atom

a = 7.288 Å, b = 7.288 Å, c = 7.288 Å
α = 90.00°, β = 90.00°, γ = 90.00°
Space group F-43m (No. 216)
One atom of each set of equivalent atoms:
Nd: 0.000 0.000 0.000 (multiplicity 4)
Pu: 0.000 0.000 0.500 (multiplicity 4)
Al: 0.250 0.250 0.750 (multiplicity 4)
Ge: 0.250 0.250 0.250 (multiplicity 4)


Entry 6:
Compound: CoRuCl3
Source: the Alexandria database
Functional: PBE
Structure: relaxed

Output
Energy above the lowest structure with this stoichiometry   31.9 meV per atom
Uncorrected formation energy   -216 meV/atom

a = 3.527 Å, b = 8.675 Å, c = 9.186 Å
α = 107.92°, β = 90.00°, γ = 101.67°
Space group P1 (No. 1)
One atom of each set of equivalent atoms:
Co: 0.000 0.000 0.000 (multiplicity 1)
Co: 0.120 0.242 0.938 (multiplicity 1)
Ru: 0.494 0.989 0.336 (multiplicity 1)
Ru: 0.540 0.080 0.814 (multiplicity 1)
Cl: 0.078 0.157 0.271 (multiplicity 1)
Cl: 0.420 0.840 0.066 (multiplicity 1)
Cl: 0.581 0.162 0.589 (multiplicity 1)
Cl: 0.708 0.417 0.003 (multiplicity 1)
Cl: 0.912 0.824 0.373 (multiplicity 1)
Cl: 0.925 0.849 0.740 (multiplicity 1)


Entry 7:
Compound: Er2TiGa3Ni4
Source: the Alexandria database
Functional: PBE
Structure: relaxed

Output
ΔE_f   -0.5391 eV/atom

a = 3.909 Å, b = 3.909 Å, c = 10.673 Å
α = 90.00°, β = 90.00°, γ = 90.00°
Space group P-4m2 (No. 115)
One atom of each set of equivalent atoms:
Er: 0.000 0.500 0.246 (multiplicity 2)
Ti: 0.000 0.000 0.500 (multiplicity 1)
Ga: 0.000 0.500 0.870 (multiplicity 2)
Ga: 0.500 0.500 0.500 (multiplicity 1)
Ni: 0.000 0.000 0.000 (multiplicity 1)
Ni: 0.000 0.500 0.645 (multiplicity 2)
Ni: 0.500 0.500 0.000 (multiplicity 1)


Entry 8:
Compound: Sr2CaAu
Source: the Alexandria database
Functional: PBE
Structure: relaxed

Output
Energy above the lowest structure with this stoichiometry   117.1 meV per atom
ΔE_f   -0.3376 eV/atom

a = 4.3573 Å, b = 4.3573 Å, c = 31.2200 Å
α = 90.00°, β = 90.00°, γ = 120.00°
Space group R-3m (No. 166, hexagonal axes)
One atom of each set of equivalent atoms:
Sr: 0.0000 0.0000 0.2259 (multiplicity 6)
Ca: 0.0000 0.0000 0.0000 (multiplicity 3)
Au: 0.0000 0.0000 0.5000 (multiplicity 3)